Computed, not measured: crystalline Na2CaSbSe4 at its relaxed geometry at the PBE level of DFT.

Cell: 7.320 7.320 7.320 Å, 132.83 132.83 68.92°
Fractional coordinates of all 8 atoms:
1 Na 0.000 0.000 0.000
2 Na 0.750 0.250 0.500
3 Ca 0.250 0.750 0.500
4 Sb 0.500 0.500 0.000
5 Se 0.005 0.505 0.500
6 Se 0.274 0.274 0.000
7 Se 0.495 0.995 0.500
8 Se 0.726 0.726 0.000

Results
**Final energy**: -3.796 eV/atom
**Density**: 4199 kg/m3
**Uncorrected formation energy**: -0.958 eV/atom
**Magnetic moment**: 0.000 μB/atom

***

Computed, not measured: crystalline NaCaSb2Te at its relaxed geometry at the PBE level of DFT.

Cell: 5.826 5.826 5.856 Å, 90.00 90.00 90.00°
Fractional coordinates of all 5 atoms:
1 Na 0.000 0.000 0.000
2 Ca 0.500 0.500 0.500
3 Sb 0.000 0.500 0.500
4 Sb 0.500 0.000 0.500
5 Te 0.500 0.500 0.000

Results
**Final energy**: -2.880 eV/atom
**Density**: 3627 kg/m3
**ΔE to the lowest computed polymorph**: 0.000 eV/atom
**Uncorrected formation energy**: 0.062 eV/atom
**Magnetic moment**: 0.000 μB/atom

***

Computed, not measured: crystalline NaCaSbTe2 at its relaxed geometry at the PBE level of DFT.

Cell: 5.912 5.912 5.799 Å, 90.00 90.00 90.00°
Fractional coordinates of all 5 atoms:
1 Na 0.000 0.000 0.000
2 Ca 0.500 0.500 0.500
3 Sb 0.500 0.500 0.000
4 Te 0.000 0.500 0.500
5 Te 0.500 0.000 0.500

Results
**Final energy**: -2.887 eV/atom
**Density**: 3605 kg/m3
**ΔE to the lowest computed polymorph**: 0.000 eV/atom
**Uncorrected formation energy**: -0.142 eV/atom
**Magnetic moment**: 0.000 μB/atom

***

Computed, not measured: crystalline NaCaSbTe2 at its relaxed geometry at the PBE level of DFT.

Cell: 5.627 5.627 5.287 Å, 90.00 90.00 90.00°
Fractional coordinates of all 5 atoms:
1 Na 0.000 0.000 0.000
2 Ca 0.500 0.500 0.500
3 Sb 0.000 0.000 0.500
4 Te 0.000 0.500 0.000
5 Te 0.500 0.000 0.000

Results
**Final energy**: -2.782 eV/atom
**Density**: 4364 kg/m3
**ΔE to the lowest computed polymorph**: 0.105 eV/atom
**Uncorrected formation energy**: -0.037 eV/atom
**Magnetic moment**: 0.000 μB/atom

***

Computed, not measured: crystalline NaCa2Sc at its relaxed geometry at the PBE level of DFT.

Cell: 13.101 13.101 13.101 Å, 15.46 15.46 15.46°
Fractional coordinates of all 4 atoms:
1 Na 0.000 0.000 0.000
2 Ca 0.417 0.417 0.417
3 Ca 0.583 0.583 0.583
4 Sc 0.500 0.500 0.500

Results
**Final energy**: -2.576 eV/atom
**Density**: 1766 kg/m3
**ΔE to the lowest computed polymorph**: 0.183 eV/atom
**Magnetic moment**: 0.146 μB/atom

***

Computed, not measured: crystalline NaCaSc2 at its relaxed geometry at the PBE level of DFT.

Cell: 6.914 6.914 6.914 Å, 101.82 101.82 126.18°
Fractional coordinates of all 8 atoms:
1 Na 0.000 0.000 0.000
2 Na 0.750 0.250 0.500
3 Ca 0.250 0.750 0.500
4 Ca 0.500 0.500 0.000
5 Sc 0.102 0.125 0.477
6 Sc 0.375 0.898 0.023
7 Sc 0.648 0.625 0.523
8 Sc 0.875 0.352 0.977

Results
**Final energy**: -3.394 eV/atom
**Density**: 2135 kg/m3
**ΔE to the lowest computed polymorph**: 0.223 eV/atom
**Magnetic moment**: 0.334 μB/atom

***

Computed, not measured: crystalline Na3CaSc at its relaxed geometry at the PBE level of DFT.

Cell: 5.961 5.961 5.961 Å, 90.00 90.00 90.00°
Fractional coordinates of all 5 atoms:
1 Na 0.000 0.000 0.500
2 Na 0.000 0.500 0.000
3 Na 0.500 0.000 0.000
4 Ca 0.500 0.500 0.500
5 Sc 0.000 0.000 0.000

Results
**Final energy**: -1.695 eV/atom
**Density**: 1207 kg/m3
**ΔE to the lowest computed polymorph**: 0.000 eV/atom
**Magnetic moment**: 0.318 μB/atom

***

Computed, not measured: crystalline NaCa2Sc2 at its relaxed geometry at the PBE level of DFT.

Cell: 9.976 9.976 3.567 Å, 90.00 90.00 90.00°
Fractional coordinates of all 10 atoms:
1 Na 0.000 0.000 0.000
2 Na 0.500 0.500 0.000
3 Ca 0.180 0.320 0.000
4 Ca 0.320 0.820 0.000
5 Ca 0.680 0.180 0.000
6 Ca 0.820 0.680 0.000
7 Sc 0.107 0.607 0.500
8 Sc 0.393 0.107 0.500
9 Sc 0.607 0.893 0.500
10 Sc 0.893 0.393 0.500

Results
**Final energy**: -3.202 eV/atom
**Density**: 1806 kg/m3
**ΔE to the lowest computed polymorph**: 0.073 eV/atom
**Magnetic moment**: 0.360 μB/atom

***

Computed, not measured: crystalline NaCa2Sc at its relaxed geometry at the PBE level of DFT.

Cell: 7.208 7.208 7.208 Å, 103.81 103.81 121.51°
Fractional coordinates of all 8 atoms:
1 Na 0.000 0.000 0.000
2 Na 0.750 0.250 0.500
3 Ca 0.107 0.625 0.982
4 Ca 0.375 0.357 0.482
5 Ca 0.643 0.125 0.018
6 Ca 0.875 0.893 0.518
7 Sc 0.250 0.750 0.500
8 Sc 0.500 0.500 0.000

Results
**Final energy**: -2.435 eV/atom
**Density**: 1765 kg/m3
**ΔE to the lowest computed polymorph**: 0.324 eV/atom
**Magnetic moment**: 0.214 μB/atom

***

Computed, not measured: crystalline NaCa2Sc2 at its relaxed geometry at the PBE level of DFT.

Cell: 9.818 9.818 3.656 Å, 90.00 90.00 90.00°
Fractional coordinates of all 10 atoms:
1 Na 0.000 0.000 0.000
2 Na 0.500 0.500 0.000
3 Ca 0.182 0.318 0.500
4 Ca 0.318 0.818 0.500
5 Ca 0.682 0.182 0.500
6 Ca 0.818 0.682 0.500
7 Sc 0.106 0.606 0.000
8 Sc 0.394 0.106 0.000
9 Sc 0.606 0.894 0.000
10 Sc 0.894 0.394 0.000

Results
**Final energy**: -3.232 eV/atom
**Density**: 1819 kg/m3
**ΔE to the lowest computed polymorph**: 0.043 eV/atom
**Magnetic moment**: 0.354 μB/atom

***

Computed, not measured: crystalline NaCa2Sc at its relaxed geometry at the PBE level of DFT.

Cell: 3.619 3.619 10.744 Å, 90.00 90.00 90.00°
Fractional coordinates of all 4 atoms:
1 Na 0.000 0.000 0.000
2 Ca 0.500 0.500 0.271
3 Ca 0.500 0.500 0.729
4 Sc 0.000 0.000 0.500

Results
**Final energy**: -2.759 eV/atom
**Density**: 1748 kg/m3
**ΔE to the lowest computed polymorph**: 0.000 eV/atom
**Magnetic moment**: 0.213 μB/atom

***

Computed, not measured: crystalline NaCaSc2 at its relaxed geometry at the PBE level of DFT.

Cell: 12.669 12.669 12.669 Å, 15.24 15.24 15.24°
Fractional coordinates of all 4 atoms:
1 Na 0.000 0.000 0.000
2 Ca 0.500 0.500 0.500
3 Sc 0.088 0.088 0.088
4 Sc 0.912 0.912 0.912

Results
**Final energy**: -3.617 eV/atom
**Density**: 2075 kg/m3
**ΔE to the lowest computed polymorph**: 0.000 eV/atom
**Magnetic moment**: 0.210 μB/atom

***

The highest magnetic moment belongs to which entry? number 8